Density functional theory data (PBE-GGA) for TbDy6Pd2 after structural relaxation.

DOS at the Fermi energy	1.11	states/eV per atom
size of the total moment	0.00	μB per formula unit
formation energy	-0.37	eV per atom
calculated volume	27.58	Å³ per atom
ρ	9.010	g/cm³

a = 16.089 Å, b = 3.684 Å, c = 10.819 Å
α = 90.00°, β = 129.27°, γ = 90.00°
Space group C2/m (No. 12)
Inequivalent atoms, fractional coordinates:
Tb  0.000  0.000  0.000
Dy  0.032  0.000  0.689
Dy  0.194  0.500  0.054
Dy  0.214  0.500  0.610
Pd  0.094  0.500  0.267